# Nb2As2Pd SCAN PBEsol geometry
data_Nb2As2Pd
_cell_length_a 4.247
_cell_length_b 4.247
_cell_length_c 10.274
_cell_angle_alpha 90.00
_cell_angle_beta 90.00
_cell_angle_gamma 90.00
_symmetry_space_group_name_H-M 'I 4/m m m'
_symmetry_Int_Tables_number 139
_symmetry_space_group_name_Hall '-I 4 2'
loop_
_atom_site_label
_atom_site_type_symbol
_atom_site_fract_x
_atom_site_fract_y
_atom_site_fract_z
Nb1 Nb 0.000 0.500 0.250
As1 As 0.000 0.000 0.113
Pd1 Pd 0.000 0.000 0.500
# Density of states at the Fermi level: 3.23 states/eV/f.u.
# Formation enthalpy at 0 K: -0.102 eV/atom

# La2TiZnO6 SCAN PBEsol geometry
data_La2TiZnO6
_cell_length_a 5.533
_cell_length_b 5.622
_cell_length_c 9.595
_cell_angle_alpha 90.00
_cell_angle_beta 125.18
_cell_angle_gamma 90.00
_symmetry_space_group_name_H-M 'P 1 21/c 1'
_symmetry_Int_Tables_number 14
loop_
_symmetry_equiv_pos_as_xyz
'x,y,z'
'-x,-y,-z'
'-x,y+1/2,-z+1/2'
'x,-y+1/2,z+1/2'
loop_
_atom_site_label
_atom_site_type_symbol
_atom_site_fract_x
_atom_site_fract_y
_atom_site_fract_z
La1 La 0.242 0.044 0.251
Ti1 Ti 0.000 0.000 0.500
Zn1 Zn 0.500 0.000 0.000
O1 O 0.152 0.217 0.953
O2 O 0.238 0.700 0.956
O3 O 0.327 0.023 0.741
# Uncorrected formation energy: -318 kJ per mole of atoms
# Density of states at the Fermi level: 0.00 states/eV/f.u.

# TlTcCl2 SCAN PBEsol geometry
data_TlTcCl2
_cell_length_a 3.151
_cell_length_b 4.592
_cell_length_c 12.469
_cell_angle_alpha 90.00
_cell_angle_beta 90.00
_cell_angle_gamma 90.00
_symmetry_space_group_name_H-M 'A m m 2'
_symmetry_Int_Tables_number 38
loop_
_symmetry_equiv_pos_as_xyz
'x,y,z'
'-x,-y,z'
'-x,y,z'
'x,-y,z'
'x,y+1/2,z+1/2'
'-x,-y+1/2,z+1/2'
'-x,y+1/2,z+1/2'
'x,-y+1/2,z+1/2'
loop_
_atom_site_label
_atom_site_type_symbol
_atom_site_fract_x
_atom_site_fract_y
_atom_site_fract_z
Tl1 Tl 0.000 0.000 0.000
Tc1 Tc 0.500 0.000 0.529
Cl1 Cl 0.000 0.000 0.669
Cl2 Cl 0.500 0.000 0.344
# Uncorrected formation energy: -21 kJ per mole of atoms
# Density of states at the Fermi level: 1.84 states/eV/f.u.

# Be2Ni SCAN PBEsol geometry
data_Be2Ni
_cell_length_a 3.5359
_cell_length_b 3.5359
_cell_length_c 2.3373
_cell_angle_alpha 90.00
_cell_angle_beta 90.00
_cell_angle_gamma 120.00
_symmetry_space_group_name_H-M 'P -3 m 1'
_symmetry_Int_Tables_number 164
_symmetry_space_group_name_Hall '-P 3 2"'
loop_
_atom_site_label
_atom_site_type_symbol
_atom_site_fract_x
_atom_site_fract_y
_atom_site_fract_z
Be1 Be 0.3333 0.6667 0.4418
Ni1 Ni 0.0000 0.0000 0.0000
# Density of states at the Fermi level: 0.82 states/eV/f.u.
# Formation enthalpy at 0 K: -0.376 eV/atom

# ThSnPt SCAN PBEsol geometry
data_ThSnPt
_cell_length_a 6.730
_cell_length_b 6.730
_cell_length_c 6.730
_cell_angle_alpha 90.00
_cell_angle_beta 90.00
_cell_angle_gamma 90.00
_symmetry_space_group_name_H-M 'F -4 3 m'
_symmetry_Int_Tables_number 216
_symmetry_space_group_name_Hall 'F -4 2 3'
loop_
_atom_site_label
_atom_site_type_symbol
_atom_site_fract_x
_atom_site_fract_y
_atom_site_fract_z
Th1 Th 0.000 0.000 0.000
Sn1 Sn 0.000 0.000 0.500
Pt1 Pt 0.250 0.250 0.250
# Formation enthalpy at 0 K: -1.286 eV/atom

# NaHfGe3 SCAN PBEsol geometry
data_NaHfGe3
_cell_length_a 4.739
_cell_length_b 4.739
_cell_length_c 4.739
_cell_angle_alpha 90.00
_cell_angle_beta 90.00
_cell_angle_gamma 90.00
_symmetry_space_group_name_H-M 'P m -3 m'
_symmetry_Int_Tables_number 221
_symmetry_space_group_name_Hall '-P 4 2 3'
loop_
_atom_site_label
_atom_site_type_symbol
_atom_site_fract_x
_atom_site_fract_y
_atom_site_fract_z
Na1 Na 0.000 0.000 0.000
Hf1 Hf 0.500 0.500 0.500
Ge1 Ge 0.000 0.000 0.500
# Density of states at the Fermi level: 3.08 states/eV/f.u.
# Formation enthalpy at 0 K: 1.095 eV/atom

# Ba2ZrAgHg SCAN PBEsol geometry
data_Ba2ZrAgHg
_cell_length_a 6.249
_cell_length_b 6.249
_cell_length_c 5.173
_cell_angle_alpha 90.00
_cell_angle_beta 90.00
_cell_angle_gamma 90.00
_symmetry_space_group_name_H-M 'P 4/m m m'
_symmetry_Int_Tables_number 123
_symmetry_space_group_name_Hall '-P 4 2'
loop_
_atom_site_label
_atom_site_type_symbol
_atom_site_fract_x
_atom_site_fract_y
_atom_site_fract_z
Ba1 Ba 0.000 0.500 0.000
Zr1 Zr 0.000 0.000 0.500
Ag1 Ag 0.000 0.000 0.000
Hg1 Hg 0.500 0.500 0.500
# Density of states at the Fermi level: 5.69 states/eV/f.u.
# Formation enthalpy at 0 K: 0.355 eV/atom

# KY2Os SCAN PBEsol geometry
data_KY2Os
_cell_length_a 4.961
_cell_length_b 4.961
_cell_length_c 3.843
_cell_angle_alpha 90.00
_cell_angle_beta 90.00
_cell_angle_gamma 90.00
_symmetry_space_group_name_H-M 'P 4/m m m'
_symmetry_Int_Tables_number 123
_symmetry_space_group_name_Hall '-P 4 2'
loop_
_atom_site_label
_atom_site_type_symbol
_atom_site_fract_x
_atom_site_fract_y
_atom_site_fract_z
K1 K 0.000 0.000 0.000
Y1 Y 0.000 0.500 0.500
Os1 Os 0.500 0.500 0.000
# Density of states at the Fermi level: 4.48 states/eV/f.u.
# Formation enthalpy at 0 K: 0.671 eV/atom